Entry 1:
Compound: ZnGeRu
Source: Alexandria
Functional: PBE
Structure: optimized geometry

The space group is P3m1 (No. 156) and the conventional cell measures 4.1486, 4.1486 and 3.1059 Å, with angles of 90.00, 90.00 and 120.00 degrees. Symmetry generates all atoms from Zn at (0.0000, 0.0000, 0.0000), Ge at (0.3333, 0.6667, 0.5013) and Ru at (0.6667, 0.3333, 0.4994).

As for the total energy: -0.3723 Ry/atom. The mass density comes out at 8.58 g/cm3. Its energy of formation is -0.0099 eV per atom. The calculation puts the density of states at the Fermi level at 1.57 states/eV/f.u.

=====

Entry 2:
Compound: TmLu3
Source: Alexandria
Functional: PBE
Structure: optimized geometry

The space group is Fm-3m (No. 225) and the conventional cell measures 7.822, 7.822 and 7.822 Å, with angles of 90.00, 90.00 and 90.00 degrees. Symmetry generates all atoms from Tm at (0.000, 0.000, 0.000), Lu at (0.000, 0.000, 0.500) and Lu at (0.250, 0.250, 0.250).

As for the total energy: -0.3203 Ry/atom. The mass density comes out at 9.63 g/cm3. Its energy of formation is 0.1510 eV per atom. The calculation puts the density of states at the Fermi level at 8.80 states/eV/f.u.

=====

Entry 3:
Compound: Be2CoRh2
Source: Alexandria
Functional: PBE
Structure: optimized geometry

The space group is P4/mbm (No. 127) and the conventional cell measures 6.165, 6.165 and 2.877 Å, with angles of 90.00, 90.00 and 90.00 degrees. Symmetry generates all atoms from Be at (0.129, 0.371, 0.000), Co at (0.000, 0.000, 0.000) and Rh at (0.168, 0.668, 0.500).

As for the total energy: -0.4584 Ry/atom. The mass density comes out at 8.59 g/cm3. Its energy of formation is -0.3840 eV per atom. The calculation puts the density of states at the Fermi level at 3.88 states/eV/f.u.